Entry from the Alexandria database: a geometry-optimized Sc5CuS4 structure (PBE).

a b c (Å): 6.4742 6.4742 9.1664
angles (deg): 118.89 118.89 32.82
Last column: nearest neighbours and their distance in Å.
Atoms (fractional coordinates):
Sc 0.0000 0.0000 0.0000  6 S 2.61
Sc 0.1995 0.1995 0.7994  5 S 2.59-2.63, 1 Cu 2.61
Sc 0.3978 0.3978 0.6040  4 S 2.59-2.64, 2 Cu 2.66
Sc 0.6022 0.6022 0.3960  4 S 2.59-2.64, 2 Cu 2.66
Sc 0.8005 0.8005 0.2006  5 S 2.59-2.63, 1 Cu 2.61
Cu 0.0000 0.0000 0.5000  6 Sc 2.61-2.66
S 0.2002 0.2002 0.2988  6 Sc 2.59-2.63
S 0.3985 0.3985 0.0961  6 Sc 2.59-2.64
S 0.6015 0.6015 0.9039  6 Sc 2.59-2.64
S 0.7998 0.7998 0.7012  6 Sc 2.59-2.63

## Properties
Its space-group type is C2/m. As for the total DFT energy (no corrections): -6.75 eV/atom.

***

Entry from the Alexandria database: a geometry-optimized LaCrBr2 structure (PBE).

a b c (Å): 5.3380 5.3380 15.2414
angles (deg): 90.00 90.00 90.00
Last column: nearest neighbours and their distance in Å.
Atoms (fractional coordinates):
La 0.0000 0.0000 0.0000  4 Br 2.93
La 0.0000 0.5000 0.2500  4 Br 2.93
La 0.5000 0.0000 0.7500  4 Br 2.93
La 0.5000 0.5000 0.5000  4 Br 2.93
Cr 0.0000 0.0000 0.5000  4 Br 2.49
Cr 0.0000 0.5000 0.7500  4 Br 2.49
Cr 0.5000 0.0000 0.2500  4 Br 2.49
Cr 0.5000 0.5000 0.0000  4 Br 2.49
Br 0.1670 0.2500 0.6250  2 Cr 2.49
Br 0.2500 0.6670 0.8750  2 Cr 2.49
Br 0.2500 0.8330 0.3750  2 Cr 2.49
Br 0.3330 0.2500 0.1250  2 Cr 2.49
Br 0.6670 0.7500 0.1250  2 Cr 2.49
Br 0.7500 0.1670 0.3750  2 Cr 2.49
Br 0.7500 0.3330 0.8750  2 Cr 2.49
Br 0.8330 0.7500 0.6250  2 Cr 2.49

## Properties
Its space-group type is I-42d. As for the total DFT energy (no corrections): -4.48 eV/atom.

***

Entry from the Alexandria database: a geometry-optimized Ba5Hg2N structure (PBE).

a b c (Å): 7.6105 7.6105 16.7448
angles (deg): 90.00 90.00 135.20
Last column: nearest neighbours and their distance in Å.
Atoms (fractional coordinates):
Ba 0.1150 0.8850 0.6298  1 N 2.74
Ba 0.1150 0.8850 0.8702  1 N 2.74
Ba 0.2526 0.7474 0.2500  2 N 2.90
Ba 0.3816 0.6184 0.6302  1 N 2.75
Ba 0.3816 0.6184 0.8698  1 N 2.75
Ba 0.6184 0.3816 0.1302  1 N 2.75
Ba 0.6184 0.3816 0.3698  1 N 2.75
Ba 0.7474 0.2526 0.7500  2 N 2.90
Ba 0.8850 0.1150 0.1298  1 N 2.74
Ba 0.8850 0.1150 0.3702  1 N 2.74
Hg 0.2495 0.7505 0.0491  2 Hg 3.33, 7 Ba 3.36-3.72
Hg 0.2495 0.7505 0.4509  2 Hg 3.33, 7 Ba 3.36-3.72
Hg 0.7505 0.2495 0.5491  2 Hg 3.33, 7 Ba 3.36-3.72
Hg 0.7505 0.2495 0.9509  2 Hg 3.33, 7 Ba 3.36-3.72
N 0.2476 0.7524 0.7500  6 Ba 2.74-2.90
N 0.7524 0.2476 0.2500  6 Ba 2.74-2.90

## Properties
Its space-group type is Cmcm. As for the total DFT energy (no corrections): -2.66 eV/atom.